Compound: AlZn2Pt
Source: the Alexandria database
Functional: PBEsol
Structure: relaxed

Computed properties:
**Density**: 10.518 Mg/m³
**Energy of formation**: -1.92 eV/f.u.
**D(E_F)**: 0.7 states/eV/f.u.
**Space-group type**: I4/mmm

Cell and atoms, written as POSCAR:
```
AlZn2Pt
1.0
3.776 0.000 0.000
0.000 3.776 0.000
-1.888 -1.888 3.907
Zn Al Pt
2 1 1
Direct
0.750 0.250 0.500
0.250 0.750 0.500
0.500 0.500 0.000
0.000 0.000 0.000
```

---

Compound: Al2Zn2Pt
Source: the Alexandria database
Functional: PBEsol
Structure: relaxed

Computed properties:
**Density**: 8.045 Mg/m³
**Energy of formation**: -0.54 eV/f.u.
**D(E_F)**: 1.9 states/eV/f.u.
**Space-group type**: I4/mmm

Cell and atoms, written as POSCAR:
```
Al2Zn2Pt
1.0
3.335 0.000 0.000
0.000 3.335 0.000
-1.668 -1.668 7.049
Zn Al Pt
2 2 1
Direct
0.250 0.750 0.500
0.750 0.250 0.500
0.595 0.595 0.189
0.405 0.405 0.811
0.000 0.000 0.000
```

---

Compound: Al2ZnPt2
Source: the Alexandria database
Functional: PBEsol
Structure: relaxed

Computed properties:
**Relative energy among the computed polymorphs**: 0.000 eV per atom
**Density**: 11.177 Mg/m³
**Energy of formation**: -3.78 eV/f.u.
**D(E_F)**: 1.3 states/eV/f.u.
**Space-group type**: P4/mbm

Cell and atoms, written as POSCAR:
```
Al2ZnPt2
1.0
2.969 0.000 0.000
0.000 7.141 0.000
0.000 0.000 7.141
Zn Al Pt
2 4 4
Direct
0.000 0.000 0.000
0.000 0.500 0.500
0.500 0.148 0.648
0.500 0.648 0.852
0.500 0.852 0.352
0.500 0.352 0.148
0.000 0.350 0.850
0.000 0.850 0.650
0.000 0.650 0.150
0.000 0.150 0.350
```

---

Compound: AlZn2Pt
Source: the Alexandria database
Functional: PBEsol
Structure: relaxed

Computed properties:
**Density**: 10.481 Mg/m³
**Energy of formation**: -1.92 eV/f.u.
**D(E_F)**: 0.5 states/eV/f.u.
**Space-group type**: I-4m2

Cell and atoms, written as POSCAR:
```
AlZn2Pt
1.0
-0.920 3.732 -0.372
-2.203 -0.227 3.164
4.508 -0.815 0.723
Zn Al Pt
2 1 1
Direct
0.000 0.000 0.000
0.250 0.750 0.500
0.500 0.500 0.000
0.750 0.250 0.500
```

---

Compound: AlZn2Pt
Source: the Alexandria database
Functional: PBEsol
Structure: relaxed

Computed properties:
**Density**: 9.919 Mg/m³
**Energy of formation**: -0.76 eV/f.u.
**D(E_F)**: 1.7 states/eV/f.u.
**Space-group type**: R-3m

Cell and atoms, written as POSCAR:
```
AlZn2Pt
1.0
-2.071 -1.018 -1.663
-1.374 -2.380 0.736
-6.810 3.449 3.936
Zn Al Pt
2 1 1
Direct
0.252 0.252 0.243
0.748 0.748 0.757
0.500 0.500 0.500
0.000 0.000 0.000
```

---

Compound: Al2ZnPt2
Source: the Alexandria database
Functional: PBEsol
Structure: relaxed

Computed properties:
**Relative energy among the computed polymorphs**: 0.177 eV per atom
**Density**: 10.444 Mg/m³
**Energy of formation**: -2.90 eV/f.u.
**D(E_F)**: 2.1 states/eV/f.u.
**Space-group type**: I4/mmm

Cell and atoms, written as POSCAR:
```
Al2ZnPt2
1.0
-0.418 2.893 -2.284
-0.065 -2.304 -2.906
-5.608 -0.750 3.088
Zn Al Pt
1 2 2
Direct
0.000 0.000 0.000
0.250 0.750 0.500
0.750 0.250 0.500
0.389 0.389 0.778
0.611 0.611 0.222
```

---

Compound: ZrAl2ZnPt
Source: the Alexandria database
Functional: PBEsol
Structure: relaxed

Computed properties:
**Density**: 5.580 Mg/m³
**Energy of formation**: 7.35 eV/f.u.
**D(E_F)**: 5.0 states/eV/f.u.
**Space-group type**: P4/mmm

Cell and atoms, written as POSCAR:
```
ZrAl2ZnPt
1.0
4.784 0.000 0.000
0.000 5.023 0.000
0.000 0.000 5.023
Zn Zr Pt Al
1 1 1 2
Direct
0.500 0.000 0.000
0.000 0.000 0.000
0.500 0.500 0.500
0.000 0.000 0.500
0.000 0.500 0.000
```

---

Compound: PuAl5Zn2
Source: the Alexandria database
Functional: PBEsol
Structure: relaxed

Computed properties:
**Density**: 6.304 Mg/m³
**Energy of formation**: -0.53 eV/f.u.
**D(E_F)**: 9.9 states/eV/f.u.
**Space-group type**: I4/mmm

Cell and atoms, written as POSCAR:
```
PuAl5Zn2
1.0
-3.371 -2.026 -1.573
1.064 -3.468 2.187
-2.968 5.124 5.467
Zn Al Pu
2 5 1
Direct
0.759 0.759 0.518
0.241 0.241 0.482
0.364 0.864 0.727
0.636 0.136 0.273
0.864 0.364 0.727
0.136 0.636 0.273
0.500 0.500 0.000
0.000 0.000 0.000
```

---

Compound: RbAlRe3
Source: the Alexandria database
Functional: PBEsol
Structure: relaxed

Computed properties:
**Density**: 11.091 Mg/m³
**Energy of formation**: 12.49 eV/f.u.
**D(E_F)**: 7.1 states/eV/f.u.
**Space-group type**: Pm-3m

Cell and atoms, written as POSCAR:
```
RbAlRe3
1.0
4.649 0.000 0.000
0.000 4.649 0.000
0.000 0.000 4.649
Re Al Rb
3 1 1
Direct
0.000 0.500 0.000
0.000 0.000 0.500
0.500 0.000 0.000
0.000 0.000 0.000
0.500 0.500 0.500
```

---

Compound: Rb2AlReS
Source: the Alexandria database
Functional: PBEsol
Structure: relaxed

Computed properties:
**Density**: 3.661 Mg/m³
**D(E_F)**: 2.4 states/eV/f.u.
**Space-group type**: P4/mmm
**Raw formation energy**: 5.99 eV per formula unit

Cell and atoms, written as POSCAR:
```
Rb2AlReS
1.0
-2.927 -1.635 -3.370
1.624 -5.912 1.457
-4.692 -0.255 4.198
Re S Al Rb
1 1 1 2
Direct
0.500 0.000 0.000
0.500 0.500 0.500
0.000 0.000 0.000
0.000 0.000 0.500
0.000 0.500 0.000
```

---

Compound: Rb2AlRh
Source: the Alexandria database
Functional: PBEsol
Structure: relaxed

Computed properties:
**Density**: 2.850 Mg/m³
**Energy of formation**: 1.45 eV/f.u.
**D(E_F)**: 1.8 states/eV/f.u.
**Space-group type**: I-42d

Cell and atoms, written as POSCAR:
```
Rb2AlRh
1.0
-1.157 -1.635 4.194
7.519 0.610 4.888
-2.849 7.184 4.591
Rh Al Rb
2 2 4
Direct
0.000 0.000 0.000
0.750 0.500 0.500
0.500 0.000 0.000
0.250 0.500 0.500
0.807 0.818 0.318
0.943 0.182 0.682
0.375 0.682 0.818
0.875 0.318 0.182
```

---

Compound: RbAl2Ru
Source: the Alexandria database
Functional: PBEsol
Structure: relaxed

Computed properties:
**Density**: 2.951 Mg/m³
**Energy of formation**: 1.68 eV/f.u.
**D(E_F)**: 2.4 states/eV/f.u.
**Space-group type**: I4_1/amd

Cell and atoms, written as POSCAR:
```
RbAl2Ru
1.0
6.383 0.000 0.000
0.000 6.383 0.000
-3.191 -3.191 6.643
Ru Al Rb
2 4 2
Direct
0.000 0.000 0.000
0.250 0.750 0.500
0.625 0.875 0.750
0.125 0.875 0.750
0.125 0.875 0.250
0.125 0.375 0.250
0.500 0.500 0.000
0.750 0.250 0.500
```

---

Compound: Rb6AlSb3
Source: the Alexandria database
Functional: PBEsol
Structure: relaxed

Computed properties:
**Density**: 3.801 Mg/m³
**D(E_F)**: 0.0 states/eV/f.u.
**Space-group type**: P2_1/m
**Raw formation energy**: -4.00 eV per formula unit

Cell and atoms, written as POSCAR:
```
Rb6AlSb3
1.0
-2.480 -5.543 1.226
5.551 -0.488 9.023
-10.263 5.454 3.891
Rb Al Sb
12 2 6
Direct
0.250 0.878 0.325
0.750 0.122 0.675
0.250 0.867 0.979
0.750 0.133 0.021
0.250 0.556 0.455
0.750 0.444 0.545
0.250 0.542 0.077
0.750 0.458 0.923
0.250 0.253 0.218
0.750 0.747 0.782
0.250 0.910 0.634
0.750 0.090 0.366
0.250 0.323 0.720
0.750 0.677 0.280
0.250 0.573 0.772
0.750 0.427 0.228
0.250 0.211 0.510
0.750 0.789 0.490
0.250 0.180 0.878
0.750 0.820 0.122
```

---

Compound: Rb2AlSb
Source: the Alexandria database
Functional: PBEsol
Structure: relaxed

Computed properties:
**Density**: 3.752 Mg/m³
**D(E_F)**: 2.8 states/eV/f.u.
**Space-group type**: I-42d
**Raw formation energy**: 1.49 eV per formula unit

Cell and atoms, written as POSCAR:
```
Rb2AlSb
1.0
-4.041 -1.578 -1.998
2.477 -3.302 -2.402
-0.745 -5.530 11.583
Sb Al Rb
2 2 4
Direct
0.250 0.750 0.500
0.000 0.000 0.000
0.750 0.250 0.500
0.500 0.500 0.000
0.377 0.875 0.250
0.873 0.375 0.250
0.125 0.127 0.750
0.625 0.623 0.750
```

---

Compound: RbAl3Se
Source: the Alexandria database
Functional: PBEsol
Structure: relaxed

Computed properties:
**Density**: 2.767 Mg/m³
**D(E_F)**: 3.5 states/eV/f.u.
**Space-group type**: Pm-3m
**Raw formation energy**: 2.69 eV per formula unit

Cell and atoms, written as POSCAR:
```
RbAl3Se
1.0
-2.172 0.596 4.776
-2.113 -4.826 -0.358
4.325 -2.059 2.224
Rb Se Al
1 1 3
Direct
0.500 0.500 0.500
0.000 0.000 0.000
0.000 0.500 0.000
0.000 0.000 0.500
0.500 0.000 0.000
```

---

Compound: RbTiAl2Se
Source: the Alexandria database
Functional: PBEsol
Structure: relaxed

Computed properties:
**Density**: 2.723 Mg/m³
**D(E_F)**: 6.1 states/eV/f.u.
**Space-group type**: P4/mmm
**Raw formation energy**: 9.67 eV per formula unit

Cell and atoms, written as POSCAR:
```
RbTiAl2Se
1.0
-4.653 -0.722 2.186
2.479 -1.697 4.716
0.059 5.271 1.866
Al Se Rb Ti
2 1 1 1
Direct
0.000 0.000 0.500
0.000 0.500 0.000
0.500 0.500 0.500
0.000 0.000 0.000
0.500 0.000 0.000
```

---

Compound: RbAl2Si2
Source: the Alexandria database
Functional: PBEsol
Structure: relaxed

Computed properties:
**Relative energy among the computed polymorphs**: 0.000 eV per atom
**Density**: 3.099 Mg/m³
**D(E_F)**: 1.4 states/eV/f.u.
**Space-group type**: I4/mmm
**Raw formation energy**: 0.12 eV per formula unit

Cell and atoms, written as POSCAR:
```
RbAl2Si2
1.0
-2.249 2.820 -2.758
-3.769 -0.600 2.460
4.311 2.818 3.102
Si Al Rb
2 2 1
Direct
0.376 0.376 0.753
0.624 0.624 0.247
0.250 0.750 0.500
0.750 0.250 0.500
0.000 0.000 0.000
```

---

Compound: Rb2AlSi
Source: the Alexandria database
Functional: PBEsol
Structure: relaxed

Computed properties:
**Density**: 3.040 Mg/m³
**D(E_F)**: 2.4 states/eV/f.u.
**Space-group type**: I-42d
**Raw formation energy**: 3.22 eV per formula unit

Cell and atoms, written as POSCAR:
```
Rb2AlSi
1.0
4.495 0.000 0.000
0.000 4.495 0.000
-2.248 -2.248 12.217
Si Al Rb
2 2 4
Direct
0.250 0.750 0.500
0.000 0.000 0.000
0.750 0.250 0.500
0.500 0.500 0.000
0.876 0.375 0.250
0.374 0.875 0.250
0.625 0.626 0.750
0.125 0.124 0.750
```

---

Compound: RbAl2Si2
Source: the Alexandria database
Functional: PBEsol
Structure: relaxed

Computed properties:
**Relative energy among the computed polymorphs**: 0.071 eV per atom
**Density**: 3.014 Mg/m³
**D(E_F)**: 1.1 states/eV/f.u.
**Space-group type**: I4/mmm
**Raw formation energy**: 0.48 eV per formula unit

Cell and atoms, written as POSCAR:
```
RbAl2Si2
1.0
4.447 0.000 0.000
0.000 4.447 0.000
-2.223 -2.223 5.449
Si Al Rb
2 2 1
Direct
0.250 0.750 0.500
0.750 0.250 0.500
0.375 0.375 0.750
0.625 0.625 0.250
0.000 0.000 0.000
```

---

Compound: RbAlSi3
Source: the Alexandria database
Functional: PBEsol
Structure: relaxed

Computed properties:
**Density**: 2.763 Mg/m³
**D(E_F)**: 2.7 states/eV/f.u.
**Space-group type**: Pm-3m
**Raw formation energy**: 3.45 eV per formula unit

Cell and atoms, written as POSCAR:
```
RbAlSi3
1.0
4.908 0.000 0.000
0.000 4.908 0.000
0.000 0.000 4.908
Si Al Rb
3 1 1
Direct
0.000 0.500 0.000
0.000 0.000 0.500
0.500 0.000 0.000
0.000 0.000 0.000
0.500 0.500 0.500
```